# 1
Ac2TbDy: relaxed, PBE.

The structure in CIF format:
```
data_Ac2TbDy
_cell_length_a 6.3625
_cell_length_b 6.3625
_cell_length_c 3.8678
_cell_angle_alpha 90.00
_cell_angle_beta 90.00
_cell_angle_gamma 105.21
_space_group_name_H-M_alt 'P 1'
_space_group_IT_number 1
loop_
_space_group_symop_operation_xyz
'x,y,z'
loop_
_atom_site_label
_atom_site_type_symbol
_atom_site_fract_x
_atom_site_fract_y
_atom_site_fract_z
_atom_site_occupancy
Ac1 Ac 0.0000 0.5000 0.0000 1
Ac2 Ac 0.5000 0.0000 0.0000 1
Tb1 Tb 0.0000 0.0000 0.5000 1
Dy1 Dy 0.5000 0.5000 0.5000 1
```

Output
* uncorrected energy: -4.309 eV/atom
* total magnetic moment: 0.000 μB per atom
* energy of formation: 53 meV per atom
* space group: Cmmm (65)
* offset from the most stable computed form: 7 meV/atom

=====

# 2
Tl6PtO12: relaxed, PBE.

The structure in CIF format:
```
data_Tl6PtO12
_cell_length_a 6.5232
_cell_length_b 6.5232
_cell_length_c 6.5232
_cell_angle_alpha 97.90
_cell_angle_beta 97.90
_cell_angle_gamma 97.90
_space_group_name_H-M_alt 'P 1'
_space_group_IT_number 1
loop_
_space_group_symop_operation_xyz
'x,y,z'
loop_
_atom_site_label
_atom_site_type_symbol
_atom_site_fract_x
_atom_site_fract_y
_atom_site_fract_z
_atom_site_occupancy
Tl1 Tl 0.1065 0.7999 0.6335 1
Tl2 Tl 0.2001 0.3665 0.8935 1
Tl3 Tl 0.3665 0.8935 0.2001 1
Tl4 Tl 0.6335 0.1065 0.7999 1
Tl5 Tl 0.7999 0.6335 0.1065 1
Tl6 Tl 0.8935 0.2001 0.3665 1
Pt1 Pt 0.5000 0.5000 0.5000 1
O1 O 0.0753 0.9037 0.3244 1
O2 O 0.0963 0.6756 0.9247 1
O3 O 0.2037 0.4310 0.5400 1
O4 O 0.3244 0.0753 0.9037 1
O5 O 0.4310 0.5400 0.2037 1
O6 O 0.4600 0.7963 0.5690 1
O7 O 0.5400 0.2037 0.4310 1
O8 O 0.5690 0.4600 0.7963 1
O9 O 0.6756 0.9247 0.0963 1
O10 O 0.7963 0.5690 0.4600 1
O11 O 0.9037 0.3244 0.0753 1
O12 O 0.9247 0.0963 0.6756 1
```

Output
* uncorrected energy: -4.763 eV/atom
* total magnetic moment: 0.101 μB per atom
* space group: R-3 (148)

=====

# 3
Li2YPuTe4: relaxed, PBE.

The structure in CIF format:
```
data_Li2YPuTe4
_cell_length_a 7.4777
_cell_length_b 4.3797
_cell_length_c 7.5786
_cell_angle_alpha 90.00
_cell_angle_beta 109.89
_cell_angle_gamma 90.00
_space_group_name_H-M_alt 'P 1'
_space_group_IT_number 1
loop_
_space_group_symop_operation_xyz
'x,y,z'
loop_
_atom_site_label
_atom_site_type_symbol
_atom_site_fract_x
_atom_site_fract_y
_atom_site_fract_z
_atom_site_occupancy
Li1 Li 0.0000 0.0000 0.0000 1
Li2 Li 0.0000 0.5000 0.5000 1
Y1 Y 0.5000 0.0000 0.5000 1
Pu1 Pu 0.5000 0.5000 0.0000 1
Te1 Te 0.2432 0.0000 0.7451 1
Te2 Te 0.2429 0.5000 0.2511 1
Te3 Te 0.7568 0.0000 0.2549 1
Te4 Te 0.7571 0.5000 0.7489 1
```

Output
* uncorrected energy: -5.798 eV/atom
* total magnetic moment: 0.625 μB per atom
* space group: P2/m (10)

=====

# 4
Mg6In3Pb: relaxed, PBE.

The structure in CIF format:
```
data_Mg6In3Pb
_cell_length_a 9.4231
_cell_length_b 9.4231
_cell_length_c 6.0453
_cell_angle_alpha 90.00
_cell_angle_beta 90.00
_cell_angle_gamma 110.41
_space_group_name_H-M_alt 'P 1'
_space_group_IT_number 1
loop_
_space_group_symop_operation_xyz
'x,y,z'
loop_
_atom_site_label
_atom_site_type_symbol
_atom_site_fract_x
_atom_site_fract_y
_atom_site_fract_z
_atom_site_occupancy
Mg1 Mg 0.0536 0.4219 0.0023 1
Mg2 Mg 0.0582 0.9418 0.5000 1
Mg3 Mg 0.2634 0.2753 0.7446 1
Mg4 Mg 0.2753 0.2634 0.2446 1
Mg5 Mg 0.2852 0.7148 0.7602 1
Mg6 Mg 0.4219 0.0536 0.5023 1
Mg7 Mg 0.5781 0.9464 0.0023 1
Mg8 Mg 0.7148 0.2852 0.2602 1
Mg9 Mg 0.7247 0.7366 0.7446 1
Mg10 Mg 0.7366 0.7247 0.2446 1
Mg11 Mg 0.9418 0.0582 0.0000 1
Mg12 Mg 0.9464 0.5781 0.5023 1
In1 In 0.0069 0.2776 0.4820 1
In2 In 0.2776 0.0069 0.9820 1
In3 In 0.4593 0.5407 0.9966 1
In4 In 0.5407 0.4593 0.4966 1
In5 In 0.7224 0.9931 0.4820 1
In6 In 0.9931 0.7224 0.9820 1
Pb1 Pb 0.2795 0.7205 0.2778 1
Pb2 Pb 0.7205 0.2795 0.7778 1
```

Output
* uncorrected energy: -2.157 eV/atom
* total magnetic moment: 0.000 μB per atom
* energy of formation: -8 meV per atom
* space group: Cmc2_1 (36)
* offset from the most stable computed form: 37 meV/atom

=====

# 5
Na3CoSn3S8: relaxed, PBE.

The structure in CIF format:
```
data_Na3CoSn3S8
_cell_length_a 7.4825
_cell_length_b 7.4825
_cell_length_c 8.1306
_cell_angle_alpha 117.42
_cell_angle_beta 117.42
_cell_angle_gamma 60.04
_space_group_name_H-M_alt 'P 1'
_space_group_IT_number 1
loop_
_space_group_symop_operation_xyz
'x,y,z'
loop_
_atom_site_label
_atom_site_type_symbol
_atom_site_fract_x
_atom_site_fract_y
_atom_site_fract_z
_atom_site_occupancy
Na1 Na 0.0000 0.0000 0.0000 1
Na2 Na 0.0000 0.5000 0.0000 1
Na3 Na 0.5000 0.0000 0.0000 1
Co1 Co 0.0000 0.0000 0.5000 1
Sn1 Sn 0.0000 0.5000 0.5000 1
Sn2 Sn 0.5000 0.0000 0.5000 1
Sn3 Sn 0.5000 0.5000 0.5000 1
S1 S 0.2132 0.2132 0.6968 1
S2 S 0.2127 0.7710 0.6967 1
S3 S 0.2290 0.7873 0.3033 1
S4 S 0.2567 0.2567 0.2705 1
S5 S 0.7433 0.7433 0.7295 1
S6 S 0.7710 0.2127 0.6967 1
S7 S 0.7873 0.2290 0.3033 1
S8 S 0.7868 0.7868 0.3032 1
```

Output
* uncorrected energy: -4.357 eV/atom
* total magnetic moment: 0.034 μB per atom
* space group: C2/m (12)

=====

# 6
Cu3AgAu4: relaxed, PBE.

The structure in CIF format:
```
data_Cu3AgAu4
_cell_length_a 9.0409
_cell_length_b 6.0641
_cell_length_c 4.6497
_cell_angle_alpha 90.00
_cell_angle_beta 90.00
_cell_angle_gamma 90.00
_space_group_name_H-M_alt 'P 1'
_space_group_IT_number 1
loop_
_space_group_symop_operation_xyz
'x,y,z'
loop_
_atom_site_label
_atom_site_type_symbol
_atom_site_fract_x
_atom_site_fract_y
_atom_site_fract_z
_atom_site_occupancy
Cu1 Cu 0.0000 0.0000 0.0000 1
Cu2 Cu 0.2500 0.0000 0.3886 1
Cu3 Cu 0.2500 0.5000 0.3994 1
Cu4 Cu 0.5000 0.0000 0.0000 1
Cu5 Cu 0.7500 0.0000 0.6114 1
Cu6 Cu 0.7500 0.5000 0.6006 1
Ag1 Ag 0.0000 0.5000 0.0000 1
Ag2 Ag 0.5000 0.5000 0.0000 1
Au1 Au 0.0000 0.2394 0.5000 1
Au2 Au 0.0000 0.7606 0.5000 1
Au3 Au 0.2500 0.2394 0.8974 1
Au4 Au 0.2500 0.7606 0.8974 1
Au5 Au 0.5000 0.2394 0.5000 1
Au6 Au 0.5000 0.7606 0.5000 1
Au7 Au 0.7500 0.2394 0.1026 1
Au8 Au 0.7500 0.7606 0.1026 1
```

Output
* uncorrected energy: -3.543 eV/atom
* total magnetic moment: 0.000 μB per atom
* energy of formation: -12 meV per atom
* space group: Pmma (51)

=====

# 7
BaLa: relaxed, PBE.

The structure in CIF format:
```
data_BaLa
_cell_length_a 3.9216
_cell_length_b 3.9216
_cell_length_c 5.9774
_cell_angle_alpha 90.00
_cell_angle_beta 90.00
_cell_angle_gamma 90.00
_space_group_name_H-M_alt 'P 1'
_space_group_IT_number 1
loop_
_space_group_symop_operation_xyz
'x,y,z'
loop_
_atom_site_label
_atom_site_type_symbol
_atom_site_fract_x
_atom_site_fract_y
_atom_site_fract_z
_atom_site_occupancy
Ba1 Ba 0.0000 0.0000 0.0000 1
La1 La 0.5000 0.5000 0.5000 1
```

Output
* uncorrected energy: -3.203 eV/atom
* total magnetic moment: 0.000 μB per atom
* energy of formation: 222 meV per atom
* space group: P4/mmm (123)
* offset from the most stable computed form: 125 meV/atom

=====

# 8
KNiSb: relaxed, PBE.

The structure in CIF format:
```
data_KNiSb
_cell_length_a 5.0545
_cell_length_b 5.0545
_cell_length_c 5.0545
_cell_angle_alpha 60.00
_cell_angle_beta 60.00
_cell_angle_gamma 60.00
_space_group_name_H-M_alt 'P 1'
_space_group_IT_number 1
loop_
_space_group_symop_operation_xyz
'x,y,z'
loop_
_atom_site_label
_atom_site_type_symbol
_atom_site_fract_x
_atom_site_fract_y
_atom_site_fract_z
_atom_site_occupancy
K1 K 0.0000 0.0000 0.0000 1
Ni1 Ni 0.7500 0.7500 0.7500 1
Sb1 Sb 0.2500 0.2500 0.2500 1
```

Output
* uncorrected energy: -2.522 eV/atom
* total magnetic moment: 0.099 μB per atom
* space group: F-43m (216)